# 1
DFT (PBE-GGA) results for crystalline Pr6InHg2 at its relaxed geometry.

Summary:
D(E_F): 1.36 states/eV per atom
space group: Fmmm, No. 69
electronic total energy: -34.70 eV for the cell shown
E above lowest polymorph: 0 meV/atom

Cell lengths 10.4165, 8.5243, 7.0962 Å; angles 83.11, 54.33, 42.56 degrees
Closest atoms and distances in Å follow each position.
Atoms (fractional coordinates):
Pr 0.0180 0.3193 0.6807  3 Hg 3.34-3.37, 1 In 3.37, 2 Pr 3.71-3.72
Pr 0.3193 0.0180 0.9820  3 Hg 3.34-3.37, 1 In 3.37, 2 Pr 3.71-3.72
Pr 0.3435 0.6565 0.3435  2 Hg 3.34, 2 In 3.39, 4 Pr 3.65-3.72
Pr 0.6565 0.3435 0.6565  2 Hg 3.34, 2 In 3.39, 4 Pr 3.65-3.72
Pr 0.6807 0.9820 0.0180  3 Hg 3.34-3.37, 1 In 3.37, 2 Pr 3.71-3.72
Pr 0.9820 0.6807 0.3193  3 Hg 3.34-3.37, 1 In 3.37, 2 Pr 3.71-3.72
In 0.0000 0.0000 0.0000  8 Pr 3.37-3.39, 4 Hg 3.76
Hg 0.3376 0.3376 0.6624  8 Pr 3.34-3.37
Hg 0.6624 0.6624 0.3376  8 Pr 3.34-3.37

=====

# 2
DFT (PBE-GGA) results for crystalline Pr6InHg at its relaxed geometry.

Summary:
D(E_F): 1.38 states/eV per atom
space group: P4/mmm, No. 123
electronic total energy: -33.55 eV for the cell shown
E above lowest polymorph: 0 meV/atom

Cell lengths 5.0085, 5.0085, 9.9796 Å; angles 90.00, 90.00, 90.00 degrees
Closest atoms and distances in Å follow each position.
Atoms (fractional coordinates):
Pr 0.0000 0.0000 0.0000  8 Pr 3.54, 4 In 3.54
Pr 0.0000 0.0000 0.5000  8 Pr 3.53, 4 Hg 3.54
Pr 0.0000 0.5000 0.2501  2 Hg 3.53, 8 Pr 3.53-3.54, 2 In 3.54
Pr 0.0000 0.5000 0.7499  2 Hg 3.53, 8 Pr 3.53-3.54, 2 In 3.54
Pr 0.5000 0.0000 0.2501  2 Hg 3.53, 8 Pr 3.53-3.54, 2 In 3.54
Pr 0.5000 0.0000 0.7499  2 Hg 3.53, 8 Pr 3.53-3.54, 2 In 3.54
In 0.5000 0.5000 0.0000  12 Pr 3.54
Hg 0.5000 0.5000 0.5000  12 Pr 3.53-3.54

=====

# 3
DFT (PBE-GGA) results for crystalline Pr2InHg4 at its relaxed geometry.

Summary:
D(E_F): 1.05 states/eV per atom
space group: I4/mmm, No. 139
electronic total energy: -13.54 eV for the cell shown
E above lowest polymorph: 338 meV/atom

Cell lengths 8.8547, 8.8547, 8.8547 Å; angles 144.57, 144.57, 50.97 degrees
Closest atoms and distances in Å follow each position.
Atoms (fractional coordinates):
Pr 0.1193 0.1193 0.0000  5 Hg 3.09-3.30
Pr 0.8807 0.8807 0.0000  5 Hg 3.09-3.30
In 0.5000 0.5000 0.0000  6 Hg 2.69-3.00
Hg 0.0000 0.5000 0.5000  2 In 2.69
Hg 0.3126 0.3126 0.0000  1 In 3.00, 1 Pr 3.09
Hg 0.5000 0.0000 0.5000  2 In 2.69
Hg 0.6874 0.6874 0.0000  1 In 3.00, 1 Pr 3.09

=====

# 4
DFT (PBE-GGA) results for crystalline Pr12In3Hg at its relaxed geometry.

Summary:
D(E_F): 1.35 states/eV per atom
space group: P4/mmm, No. 123
electronic total energy: -69.96 eV for the cell shown

Cell lengths 5.0184, 5.0184, 20.0192 Å; angles 90.00, 90.00, 90.00 degrees
Closest atoms and distances in Å follow each position.
Atoms (fractional coordinates):
Pr 0.0000 0.0000 0.0000  8 Pr 3.53, 4 Hg 3.55
Pr 0.0000 0.0000 0.2480  8 Pr 3.53-3.56, 4 In 3.55
Pr 0.0000 0.0000 0.5000  4 In 3.55, 8 Pr 3.55
Pr 0.0000 0.0000 0.7520  8 Pr 3.53-3.56, 4 In 3.55
Pr 0.0000 0.5000 0.1241  8 Pr 3.53-3.55, 2 Hg 3.53, 2 In 3.54
Pr 0.0000 0.5000 0.3743  8 Pr 3.55-3.56, 4 In 3.55
Pr 0.0000 0.5000 0.6257  8 Pr 3.55-3.56, 4 In 3.55
Pr 0.0000 0.5000 0.8759  8 Pr 3.53-3.55, 2 Hg 3.53, 2 In 3.54
Pr 0.5000 0.0000 0.1241  8 Pr 3.53-3.55, 2 Hg 3.53, 2 In 3.54
Pr 0.5000 0.0000 0.3743  8 Pr 3.55-3.56, 4 In 3.55
Pr 0.5000 0.0000 0.6257  8 Pr 3.55-3.56, 4 In 3.55
Pr 0.5000 0.0000 0.8759  8 Pr 3.53-3.55, 2 Hg 3.53, 2 In 3.54
In 0.5000 0.5000 0.2488  12 Pr 3.54-3.55
In 0.5000 0.5000 0.5000  12 Pr 3.55
In 0.5000 0.5000 0.7512  12 Pr 3.54-3.55
Hg 0.5000 0.5000 0.0000  12 Pr 3.53-3.55

=====

# 5
DFT (PBE-GGA) results for crystalline Pr3In2Hg3 at its relaxed geometry.

Summary:
D(E_F): 1.02 states/eV per atom
space group: P6_3/mcm, No. 193
electronic total energy: -47.69 eV for the cell shown
E above lowest polymorph: 58 meV/atom

Cell lengths 9.2593, 9.2593, 6.4720 Å; angles 90.00, 90.00, 120.00 degrees
Closest atoms and distances in Å follow each position.
Atoms (fractional coordinates):
Pr 0.0000 0.3194 0.2500  5 Hg 3.06-3.24
Pr 0.0000 0.6806 0.7500  5 Hg 3.06-3.24
Pr 0.3194 0.0000 0.2500  5 Hg 3.06-3.24
Pr 0.3194 0.3194 0.7500  5 Hg 3.06-3.24
Pr 0.6806 0.0000 0.7500  5 Hg 3.06-3.24
Pr 0.6806 0.6806 0.2500  5 Hg 3.06-3.24
In 0.3333 0.6667 0.0000  2 In 3.24, 6 Hg 3.45, 6 Pr 3.54
In 0.3333 0.6667 0.5000  2 In 3.24, 6 Hg 3.45, 6 Pr 3.54
In 0.6667 0.3333 0.0000  2 In 3.24, 6 Hg 3.45, 6 Pr 3.54
In 0.6667 0.3333 0.5000  2 In 3.24, 6 Hg 3.45, 6 Pr 3.54
Hg 0.0000 0.3411 0.7500  5 Pr 3.06-3.24
Hg 0.0000 0.6589 0.2500  5 Pr 3.06-3.24
Hg 0.3411 0.0000 0.7500  5 Pr 3.06-3.24
Hg 0.3411 0.3411 0.2500  5 Pr 3.06-3.24
Hg 0.6589 0.0000 0.2500  5 Pr 3.06-3.24
Hg 0.6589 0.6589 0.7500  5 Pr 3.06-3.24

=====

# 6
DFT (PBE-GGA) results for crystalline Pr3InHg4 at its relaxed geometry.

Summary:
D(E_F): 0.80 states/eV per atom
space group: R-3m, No. 166
electronic total energy: -21.82 eV for the cell shown
E above lowest polymorph: 0 meV/atom

Cell lengths 9.6709, 9.6709, 9.6709 Å; angles 31.73, 31.73, 31.73 degrees
Closest atoms and distances in Å follow each position.
Atoms (fractional coordinates):
Pr 0.0000 0.0000 0.0000  8 Hg 3.23-3.33
Pr 0.2394 0.2394 0.2394  7 Hg 3.14-3.42
Pr 0.7606 0.7606 0.7606  7 Hg 3.14-3.42
In 0.5000 0.5000 0.5000  8 Hg 3.30-3.55, 6 Pr 3.65
Hg 0.1208 0.1208 0.1208  5 Pr 3.14-3.33, 3 In 3.30
Hg 0.3712 0.3712 0.3712  6 Pr 3.23-3.42, 1 In 3.55
Hg 0.6288 0.6288 0.6288  6 Pr 3.23-3.42, 1 In 3.55
Hg 0.8792 0.8792 0.8792  5 Pr 3.14-3.33, 3 In 3.30

=====

# 7
DFT (PBE-GGA) results for crystalline Pr3In4Hg2 at its relaxed geometry.

Summary:
D(E_F): 0.76 states/eV per atom
space group: C2/m, No. 12
electronic total energy: -30.15 eV for the cell shown
E above lowest polymorph: 0 meV/atom

Cell lengths 6.3067, 6.3067, 9.4566 Å; angles 113.08, 113.08, 46.41 degrees
Closest atoms and distances in Å follow each position.
Atoms (fractional coordinates):
Pr 0.0000 0.0000 0.0000  8 In 3.34-3.51, 4 Hg 3.53
Pr 0.3305 0.3305 0.3395  4 Hg 3.29-3.62, 8 In 3.38-3.60
Pr 0.6695 0.6695 0.6605  4 Hg 3.29-3.62, 8 In 3.38-3.60
In 0.0377 0.0377 0.3703  2 Hg 2.89, 1 In 2.93
In 0.2680 0.2680 0.9323  1 Hg 2.89, 2 In 2.91
In 0.7320 0.7320 0.0677  1 Hg 2.89, 2 In 2.91
In 0.9623 0.9623 0.6297  2 Hg 2.89, 1 In 2.93
Hg 0.3758 0.3758 0.7078  3 In 2.89
Hg 0.6242 0.6242 0.2922  3 In 2.89

=====

# 8
DFT (PBE-GGA) results for crystalline Pr3InHg at its relaxed geometry.

Summary:
D(E_F): 1.27 states/eV per atom
space group: Cmcm, No. 63
electronic total energy: -38.32 eV for the cell shown
E above lowest polymorph: 0 meV/atom

Cell lengths 10.4734, 10.4734, 5.5295 Å; angles 90.00, 90.00, 149.43 degrees
Closest atoms and distances in Å follow each position.
Atoms (fractional coordinates):
Pr 0.0564 0.9436 0.7500  2 Hg 3.35, 2 In 3.39, 4 Pr 3.58-3.70
Pr 0.2471 0.7529 0.7500  4 In 3.35-3.42, 4 Hg 3.38-3.45
Pr 0.4345 0.5655 0.7500  2 Hg 3.25, 2 In 3.28
Pr 0.5655 0.4345 0.2500  2 Hg 3.25, 2 In 3.28
Pr 0.7529 0.2471 0.2500  4 In 3.35-3.42, 4 Hg 3.38-3.45
Pr 0.9436 0.0564 0.2500  2 Hg 3.35, 2 In 3.39, 4 Pr 3.58-3.70
In 0.1533 0.8467 0.2500  8 Pr 3.28-3.42
In 0.8467 0.1533 0.7500  8 Pr 3.28-3.42
Hg 0.3496 0.6504 0.2500  8 Pr 3.25-3.45
Hg 0.6504 0.3496 0.7500  8 Pr 3.25-3.45

=====

# 9
DFT (PBE-GGA) results for crystalline PrIn3Hg4 at its relaxed geometry.

Summary:
D(E_F): 0.44 states/eV per atom
space group: Pmma, No. 51
electronic total energy: -31.81 eV for the cell shown

Cell lengths 10.0706, 8.1610, 5.0362 Å; angles 90.00, 90.00, 90.00 degrees
Closest atoms and distances in Å follow each position.
Atoms (fractional coordinates):
Pr 0.0000 0.0000 0.0000  8 Hg 3.27, 4 In 3.56-3.57
Pr 0.5000 0.0000 0.0000  8 Hg 3.27, 4 In 3.56-3.57
In 0.0000 0.5000 0.0000  8 Hg 3.21, 4 In 3.55-3.57
In 0.2500 0.0000 0.4988  8 Hg 3.27-3.28, 4 Pr 3.56-3.57
In 0.2500 0.5000 0.4980  8 Hg 3.21, 4 In 3.55-3.57
In 0.5000 0.5000 0.0000  8 Hg 3.21, 4 In 3.55-3.57
In 0.7500 0.0000 0.5012  8 Hg 3.27-3.28, 4 Pr 3.56-3.57
In 0.7500 0.5000 0.5020  8 Hg 3.21, 4 In 3.55-3.57
Hg 0.0000 0.2560 0.5000  6 In 3.21-3.27, 2 Pr 3.27, 4 Hg 3.55-3.57
Hg 0.0000 0.7440 0.5000  6 In 3.21-3.27, 2 Pr 3.27, 4 Hg 3.55-3.57
Hg 0.2500 0.2561 0.9979  6 In 3.21-3.28, 2 Pr 3.27, 4 Hg 3.55-3.57
Hg 0.2500 0.7439 0.9979  6 In 3.21-3.28, 2 Pr 3.27, 4 Hg 3.55-3.57
Hg 0.5000 0.2560 0.5000  6 In 3.21-3.27, 2 Pr 3.27, 4 Hg 3.55-3.57
Hg 0.5000 0.7440 0.5000  6 In 3.21-3.27, 2 Pr 3.27, 4 Hg 3.55-3.57
Hg 0.7500 0.2561 0.0021  6 In 3.21-3.28, 2 Pr 3.27, 4 Hg 3.55-3.57
Hg 0.7500 0.7439 0.0021  6 In 3.21-3.28, 2 Pr 3.27, 4 Hg 3.55-3.57

=====

# 10
DFT (PBE-GGA) results for crystalline Pr5In2Hg2 at its relaxed geometry.

Summary:
D(E_F): 1.03 states/eV per atom
space group: Cmce, No. 64
electronic total energy: -66.34 eV for the cell shown

Cell lengths 9.6064, 9.6064, 7.5756 Å; angles 90.00, 90.00, 55.32 degrees
Closest atoms and distances in Å follow each position.
Atoms (fractional coordinates):
Pr 0.0000 0.0000 0.0000  4 Hg 3.15-3.35
Pr 0.0469 0.6722 0.6615  2 Hg 3.22-3.31, 3 In 3.27-3.28
Pr 0.1722 0.5469 0.1615  2 Hg 3.22-3.31, 3 In 3.27-3.28
Pr 0.3278 0.9531 0.6615  2 Hg 3.22-3.31, 3 In 3.27-3.28
Pr 0.4531 0.8278 0.1615  2 Hg 3.22-3.31, 3 In 3.27-3.28
Pr 0.5000 0.5000 0.5000  4 Hg 3.15-3.35
Pr 0.5469 0.1722 0.8385  2 Hg 3.22-3.31, 3 In 3.27-3.28
Pr 0.6722 0.0469 0.3385  2 Hg 3.22-3.31, 3 In 3.27-3.28
Pr 0.8278 0.4531 0.8385  2 Hg 3.22-3.31, 3 In 3.27-3.28
Pr 0.9531 0.3278 0.3385  2 Hg 3.22-3.31, 3 In 3.27-3.28
In 0.2102 0.2102 0.0000  7 Pr 3.27-3.58
In 0.2898 0.2898 0.5000  7 Pr 3.27-3.58
In 0.7102 0.7102 0.5000  7 Pr 3.27-3.58
In 0.7898 0.7898 0.0000  7 Pr 3.27-3.58
Hg 0.1382 0.8618 0.3826  1 Hg 3.04, 6 Pr 3.15-3.35
Hg 0.3618 0.6382 0.8826  1 Hg 3.04, 6 Pr 3.15-3.35
Hg 0.6382 0.3618 0.1174  1 Hg 3.04, 6 Pr 3.15-3.35
Hg 0.8618 0.1382 0.6174  1 Hg 3.04, 6 Pr 3.15-3.35

=====

# 11
DFT (PBE-GGA) results for crystalline Pr2In2Hg at its relaxed geometry.

Summary:
D(E_F): 0.80 states/eV per atom
space group: C2/m, No. 12
electronic total energy: -35.35 eV for the cell shown

Cell lengths 6.2937, 6.2937, 11.3822 Å; angles 114.08, 114.08, 45.63 degrees
Closest atoms and distances in Å follow each position.
Atoms (fractional coordinates):
Pr 0.0166 0.0166 0.3317  7 In 3.33-3.61, 4 Hg 3.41-3.66
Pr 0.1776 0.1776 0.0968  6 In 3.29-3.51, 2 Hg 3.51
Pr 0.8224 0.8224 0.9032  6 In 3.29-3.51, 2 Hg 3.51
Pr 0.9834 0.9834 0.6683  7 In 3.33-3.61, 4 Hg 3.41-3.66
In 0.3594 0.3594 0.4359  3 Hg 2.86-3.15, 1 In 2.93
In 0.4685 0.4685 0.1153  1 Hg 2.90, 1 In 3.02
In 0.5315 0.5315 0.8847  1 Hg 2.90, 1 In 3.02
In 0.6406 0.6406 0.5641  3 Hg 2.86-3.15, 1 In 2.93
Hg 0.2774 0.2774 0.6654  4 In 2.86-3.15
Hg 0.7226 0.7226 0.3346  4 In 2.86-3.15

=====

# 12
DFT (PBE-GGA) results for crystalline Pr9In2Hg at its relaxed geometry.

Summary:
D(E_F): 1.49 states/eV per atom
space group: P4/mmm, No. 123
electronic total energy: -51.73 eV for the cell shown

Cell lengths 5.0176, 5.0176, 14.9872 Å; angles 90.00, 90.00, 90.00 degrees
Closest atoms and distances in Å follow each position.
Atoms (fractional coordinates):
Pr 0.0000 0.0000 0.0000  8 Pr 3.53, 4 Hg 3.55
Pr 0.0000 0.0000 0.3311  8 Pr 3.53-3.56, 4 In 3.55
Pr 0.0000 0.0000 0.6689  8 Pr 3.53-3.56, 4 In 3.55
Pr 0.0000 0.5000 0.1658  8 Pr 3.53-3.55, 2 Hg 3.53, 2 In 3.54
Pr 0.0000 0.5000 0.5000  8 Pr 3.55-3.56, 4 In 3.55
Pr 0.0000 0.5000 0.8342  8 Pr 3.53-3.55, 2 Hg 3.53, 2 In 3.54
Pr 0.5000 0.0000 0.1658  8 Pr 3.53-3.55, 2 Hg 3.53, 2 In 3.54
Pr 0.5000 0.0000 0.5000  8 Pr 3.55-3.56, 4 In 3.55
Pr 0.5000 0.0000 0.8342  8 Pr 3.53-3.55, 2 Hg 3.53, 2 In 3.54
In 0.5000 0.5000 0.3323  12 Pr 3.54-3.55
In 0.5000 0.5000 0.6677  12 Pr 3.54-3.55
Hg 0.5000 0.5000 0.0000  12 Pr 3.53-3.55

=====

Which value of electronic total energy does entry 5 give?
-47.69 eV for the cell shown

=====

The highest electronic total energy belongs to which entry?
Pr2InHg4